# 1
First-principles (GGA-PBE) data for crystalline KLaCu2 at its relaxed geometry, as listed in the Alexandria database.

Properties
The energy relative to the lowest polymorph listed for this composition is 207 meV/atom. The total energy comes out at -3.26 eV per atom. For the energy of formation from the pure elements, the calculation gives 291 meV/atom.

Lattice parameters (Å, degrees): 6.019 6.019 5.304 71.99 71.99 33.23
Sites, in units of the cell vectors:
Cu  0.043  0.043  0.992
Cu  0.701  0.701  0.774
K  0.477  0.477  0.546
La  0.279  0.279  0.188

# 2
First-principles (GGA-PBE) data for crystalline Cs2CaPrF6 at its relaxed geometry, as listed in the Alexandria database.

Properties
The total energy comes out at -5.21 eV per atom. The calculation puts the uncorrected formation energy at -32.43 eV/f.u.

Lattice parameters (Å, degrees): 7.056 6.397 9.364 90.00 90.00 90.00
Sites, in units of the cell vectors:
Cs  0.500  0.752  0.244
Cs  0.000  0.248  0.744
Cs  0.500  0.752  0.756
Cs  0.000  0.248  0.256
Ca  0.000  0.749  0.500
Ca  0.500  0.251  0.000
Pr  0.500  0.251  0.500
Pr  0.000  0.749  0.000
F  0.500  0.250  0.248
F  0.500  0.250  0.752
F  0.000  0.750  0.252
F  0.000  0.750  0.748
F  0.220  0.015  0.500
F  0.780  0.015  0.500
F  0.217  0.480  0.500
F  0.783  0.480  0.500
F  0.717  0.520  0.000
F  0.283  0.520  0.000
F  0.280  0.985  0.000
F  0.720  0.985  0.000

Number 1: N(E_F) 3.58 states/eV/cell. Number 2: N(E_F) 3.34 states/eV/cell.